[1]
A relaxed structure of I3O. Source: Alexandria via LeMat-Bulk, functional PBE.

Properties
The formation energy from raw total energies comes out at 1.04 eV/atom. As for the symmetry: No. 225. The value obtained for the electronic total energy is -1.36 eV/atom. The calculation puts the polymorph energy (0 for the lowest one) at 291 kJ/mol of formula units.

Lattice parameters (Å, degrees): 5.3223 5.3223 5.3223 60.00 60.00 60.00
With the nearest neighbours (Å) after each atom.
Fractional coordinates of all 4 atoms:
I 0.0000 0.0000 0.0000  8 I 3.26
I 0.2500 0.2500 0.2500  4 O 3.26, 4 I 3.26
I 0.7500 0.7500 0.7500  4 O 3.26, 4 I 3.26
O 0.5000 0.5000 0.5000  8 I 3.26

=====

[2]
A relaxed structure of Pm4Ag2Pd. Source: Alexandria via LeMat-Bulk, functional PBE.

Properties
The formation energy is -1.8 eV per formula unit. As for the symmetry: No. 166. The value obtained for the electronic total energy is -4.53 eV/atom.

Lattice parameters (Å, degrees): 8.9716 8.9716 8.9716 33.51 33.51 33.51
With the nearest neighbours (Å) after each atom.
Fractional coordinates of all 7 atoms:
Pm 0.1230 0.1230 0.1230  4 Ag 3.12, 1 Pd 3.12
Pm 0.3731 0.3731 0.3731  3 Pd 3.15, 4 Ag 3.22-3.23
Pm 0.6269 0.6269 0.6269  3 Pd 3.15, 4 Ag 3.22-3.23
Pm 0.8770 0.8770 0.8770  4 Ag 3.12, 1 Pd 3.12
Ag 0.2460 0.2460 0.2460  8 Pm 3.12-3.23
Ag 0.7540 0.7540 0.7540  8 Pm 3.12-3.23
Pd 0.0000 0.0000 0.0000  8 Pm 3.12-3.15